(1)
Density functional theory data (PBE) for a relaxed SiTe2H crystal.

As for the energy relative to the lowest polymorph listed for this composition: 672.5 meV per atom. For the density of states at the Fermi level, the calculation gives 2.30 states/eV per cell. The energy is -12.3 eV per cell. The total magnetization comes out at 0.0 μB/cell.

Unit cell a=4.8064 b=4.8064 c=4.8064 alpha=60.00 beta=60.00 gamma=60.00
Sites, in units of the cell vectors:
Te 0.7500 0.7500 0.7500
Te 0.2500 0.2500 0.2500
Si 0.5000 0.5000 0.5000
H 0.0000 0.0000 0.0000



(2)
Density functional theory data (PBE) for a relaxed SrPmH4 crystal.

For the density of states at the Fermi level, the calculation gives 1.78 states/eV per cell. The energy is -23.3 eV per cell. The total magnetization comes out at 0.2 μB/cell.

Unit cell a=3.9172 b=3.9173 c=5.6916 alpha=90.00 beta=90.00 gamma=90.00
Sites, in units of the cell vectors:
Sr 0.5013 0.4973 0.9981
H 0.5013 0.9974 0.7289
H 0.5013 0.9972 0.2674
H 0.0013 0.4973 0.2674
H 0.0013 0.4973 0.7289
Pm 0.0013 0.9973 0.4981



(3)
Density functional theory data (PBE) for a relaxed Nd5PtSe4 crystal.

For the density of states at the Fermi level, the calculation gives 5.56 states/eV per cell. The energy is -60.6 eV per cell. The total magnetization comes out at 0.0 μB/cell. The value obtained for the formation energy from raw total energies is -1.682 eV/atom.

Unit cell a=4.2259 b=4.2259 c=15.3268 alpha=97.92 beta=97.92 gamma=90.00
Sites, in units of the cell vectors:
Nd 0.2979 0.2979 0.5958
Nd 0.5000 0.5000 0.0000
Nd 0.0986 0.0986 0.1972
Nd 0.7021 0.7021 0.4042
Nd 0.9014 0.9014 0.8028
Se 0.6018 0.6018 0.2036
Se 0.3982 0.3982 0.7964
Se 0.1980 0.1980 0.3961
Se 0.8020 0.8020 0.6039
Pt 0.0000 0.0000 0.0000



(4)
Density functional theory data (PBE) for a relaxed Pr5NdHo crystal.

For the density of states at the Fermi level, the calculation gives 13.58 states/eV per cell. As for the energy relative to the elements: 939 meV per atom. The energy is -26.7 eV per cell. The total magnetization comes out at 0.2 μB/cell.

Unit cell a=5.9657 b=8.1178 c=8.1178 alpha=66.27 beta=68.49 gamma=68.49
Sites, in units of the cell vectors:
Ho 0.5000 0.5000 0.5000
Nd 0.0000 0.0000 0.0000
Pr 0.0000 0.3242 0.6758
Pr 0.0000 0.6758 0.3242
Pr 0.2493 0.7505 0.7505
Pr 0.5000 0.0000 0.0000
Pr 0.7507 0.2495 0.2495



(5)
Density functional theory data (PBE) for a relaxed MnCu2Re crystal.

As for the energy relative to the lowest polymorph listed for this composition: 79.0 meV per atom. For the density of states at the Fermi level, the calculation gives 2.84 states/eV per cell. As for the energy relative to the elements: 268 meV per atom. The energy is -28.7 eV per cell. The total magnetization comes out at 1.6 μB/cell.

Unit cell a=4.4580 b=4.4580 c=4.4580 alpha=130.10 beta=130.10 gamma=73.24
Sites, in units of the cell vectors:
Cu 0.0000 0.0000 0.0000
Cu 0.2500 0.7500 0.5000
Re 0.7500 0.2500 0.5000
Mn 0.5000 0.5000 0.0000



(6)
Density functional theory data (PBE) for a relaxed Pr3USe6 crystal.

For the density of states at the Fermi level, the calculation gives 12.48 states/eV per cell. The energy is -125.2 eV per cell. The total magnetization comes out at 6.0 μB/cell. The value obtained for the formation energy from raw total energies is -1.604 eV/atom.

Unit cell a=7.3125 b=9.1895 c=9.1895 alpha=101.96 beta=90.00 gamma=90.00
Sites, in units of the cell vectors:
Se 0.1341 0.7691 0.2309
Se 0.7507 0.9927 0.0073
Se 0.1970 0.4282 0.9036
Se 0.1970 0.0964 0.5718
Se 0.1784 0.6961 0.6317
Se 0.6970 0.9036 0.4282
Se 0.1784 0.3683 0.3039
Se 0.6970 0.5718 0.0964
Se 0.6784 0.6317 0.6961
Se 0.2507 0.0073 0.9927
Se 0.6784 0.3039 0.3683
Se 0.6341 0.2309 0.7691
Pr 0.3795 0.4032 0.5968
Pr 0.4866 0.2929 0.0848
Pr 0.9866 0.7071 0.9152
Pr 0.9866 0.0848 0.2929
Pr 0.4866 0.9152 0.7071
Pr 0.8795 0.5968 0.4032
U 0.9970 0.1641 0.8359
U 0.4970 0.8359 0.1641



(7)
Density functional theory data (PBE) for a relaxed AlCu3Au4 crystal.

For the density of states at the Fermi level, the calculation gives 3.14 states/eV per cell. As for the energy relative to the elements: -149 meV per atom. The energy is -30.3 eV per cell. The total magnetization comes out at 0.0 μB/cell.

Unit cell a=4.1993 b=4.2010 c=7.5839 alpha=73.88 beta=106.07 gamma=90.00
Sites, in units of the cell vectors:
Al 0.5000 0.0000 0.0000
Au 0.6244 0.3751 0.2488
Au 0.8756 0.1247 0.7512
Au 0.3756 0.6249 0.7512
Au 0.1244 0.8753 0.2488
Cu 0.7511 0.7487 0.5021
Cu 0.2489 0.2513 0.4979
Cu 0.0000 0.5000 0.0000



(8)
Density functional theory data (PBE) for a relaxed Nb2Te2Pt crystal.

As for the energy relative to the lowest polymorph listed for this composition: 219.6 meV per atom. For the density of states at the Fermi level, the calculation gives 5.42 states/eV per cell. The energy is -30.6 eV per cell. The total magnetization comes out at 0.0 μB/cell. The value obtained for the formation energy from raw total energies is 0.367 eV/atom.

Unit cell a=3.8346 b=3.8346 c=8.2870 alpha=76.62 beta=76.62 gamma=90.00
Sites, in units of the cell vectors:
Pt 0.0000 0.0000 0.0000
Te 0.3902 0.3902 0.2196
Te 0.6098 0.6098 0.7804
Nb 0.7500 0.2500 0.5000
Nb 0.2500 0.7500 0.5000



(9)
Density functional theory data (PBE) for a relaxed ZrBi3N crystal.

As for the energy relative to the lowest polymorph listed for this composition: 0.0 meV per atom. For the density of states at the Fermi level, the calculation gives 2.45 states/eV per cell. The energy is -26.3 eV per cell. The total magnetization comes out at 0.0 μB/cell. The value obtained for the formation energy from raw total energies is 0.439 eV/atom.

Unit cell a=4.9085 b=4.9085 c=4.9085 alpha=90.00 beta=90.00 gamma=90.00
Sites, in units of the cell vectors:
Bi 0.0000 0.0000 0.5000
Bi 0.5000 0.0000 0.0000
Bi 0.0000 0.5000 0.0000
Zr 0.5000 0.5000 0.5000
N 0.0000 0.0000 0.0000



(10)
Density functional theory data (PBE) for a relaxed SrLiGa2Hg crystal.

For the density of states at the Fermi level, the calculation gives 2.94 states/eV per cell. As for the energy relative to the elements: 17 meV per atom. The energy is -9.9 eV per cell. The total magnetization comes out at 0.0 μB/cell.

Unit cell a=4.7845 b=5.6850 c=4.7845 alpha=90.00 beta=90.00 gamma=90.00
Sites, in units of the cell vectors:
Ga 0.0000 0.0000 0.5000
Ga 0.5000 0.0000 0.0000
Hg 0.5000 0.5000 0.5000
Li 0.0000 0.0000 0.0000
Sr 0.0000 0.5000 0.0000



(11)
Density functional theory data (PBE) for a relaxed Cs2NaHg8 crystal.

For the density of states at the Fermi level, the calculation gives 4.82 states/eV per cell. As for the energy relative to the elements: -192 meV per atom. The energy is -7.6 eV per cell. The total magnetization comes out at 0.0 μB/cell.

Unit cell a=5.2822 b=7.9108 c=10.7276 alpha=110.96 beta=103.28 gamma=92.56
Sites, in units of the cell vectors:
Na 0.5000 0.0000 0.0000
Hg 0.1235 0.3100 0.2168
Hg 0.8765 0.6900 0.7832
Hg 0.7334 0.3999 0.0000
Hg 0.3361 0.8361 0.6723
Hg 0.2666 0.6001 0.0000
Hg 0.6639 0.1639 0.3277
Hg 0.0933 0.9068 0.2168
Hg 0.9067 0.0932 0.7832
Cs 0.6902 0.6903 0.3805
Cs 0.3098 0.3097 0.6195



(12)
Density functional theory data (PBE) for a relaxed Rb2HfRu crystal.

As for the energy relative to the lowest polymorph listed for this composition: 1094.3 meV per atom. For the density of states at the Fermi level, the calculation gives 5.23 states/eV per cell. As for the energy relative to the elements: 2094 meV per atom. The energy is -12.8 eV per cell. The total magnetization comes out at 0.0 μB/cell.

Unit cell a=5.5297 b=5.5297 c=5.5297 alpha=60.00 beta=60.00 gamma=60.00
Sites, in units of the cell vectors:
Ru 0.0000 0.0000 0.0000
Rb 0.2500 0.2500 0.2500
Rb 0.7500 0.7500 0.7500
Hf 0.5000 0.5000 0.5000



Number 1: calculated density 6.0 g/cm³. Number 2: calculated density 4.5 g/cm³. Number 3: calculated density 7.6 g/cm³. Number 4: calculated density 5.2 g/cm³. Number 5: calculated density 12.1 g/cm³. Number 6: calculated density 6.2 g/cm³. Number 7: calculated density 13.6 g/cm³. Number 8: calculated density 9.2 g/cm³. Number 9: calculated density 10.3 g/cm³. Number 10: calculated density 5.5 g/cm³. Number 11: calculated density 7.8 g/cm³. Number 12: calculated density 6.3 g/cm³.